Arrangement i

A plane-wave DFT calculation with PBE-GGA was carried out for an optimized crystal structure of TlGaPO2.

Cell and atoms, written as CIF:
```
data_TlGaPO2
_cell_length_a 3.853
_cell_length_b 3.853
_cell_length_c 5.357
_cell_angle_alpha 90.00
_cell_angle_beta 90.00
_cell_angle_gamma 90.00
_symmetry_space_group_name_H-M 'P 4/m m m'
_symmetry_Int_Tables_number 123
_symmetry_space_group_name_Hall '-P 4 2'
loop_
_atom_site_label
_atom_site_fract_x
_atom_site_fract_y
_atom_site_fract_z
Tl1 0.000 0.000 0.000
Ga1 0.500 0.500 0.500
P1 0.500 0.500 0.000
O1 0.000 0.500 0.500
```

DOS(E_F): 0.70 states/eV per atom



Arrangement ii

A plane-wave DFT calculation with PBE-GGA was carried out for an optimized crystal structure of TlGaPO2.

Cell and atoms, written as CIF:
```
data_TlGaPO2
_cell_length_a 4.119
_cell_length_b 4.119
_cell_length_c 5.539
_cell_angle_alpha 90.00
_cell_angle_beta 90.00
_cell_angle_gamma 90.00
_symmetry_space_group_name_H-M 'P 4/m m m'
_symmetry_Int_Tables_number 123
_symmetry_space_group_name_Hall '-P 4 2'
loop_
_atom_site_label
_atom_site_fract_x
_atom_site_fract_y
_atom_site_fract_z
Tl1 0.000 0.000 0.000
Ga1 0.500 0.500 0.500
P1 0.000 0.000 0.500
O1 0.000 0.500 0.000
```

DOS(E_F): 0.82 states/eV per atom



Verdict on stability: arrangement ii comes out at the bottom.